[1]
Here is a relaxed structure of KAlSe2 from Alexandria via LeMat-Bulk. Energies are from PBE.

For the uncorrected formation energy, the calculation gives -61.4 kJ per mole of atoms. Its total energy is -3.59 eV/atom.

The space group is Cmcm (No. 63) and the conventional cell measures 3.843, 20.055 and 6.620 Å, with angles of 90.00, 90.00 and 90.00 degrees. The distinct sites, in fractional coordinates, are K at (0.000, 0.064, 0.250), Al at (0.000, 0.320, 0.250), Se at (0.000, 0.102, 0.750) and Se at (0.000, 0.209, 0.250).

[2]
Here is a relaxed structure of KAlSe from Alexandria via LeMat-Bulk. Energies are from PBE.

For the energy above the most stable polymorph in this dataset, the calculation gives 0.065 eV per atom. For the uncorrected formation energy, the calculation gives -62.5 kJ per mole of atoms. Its total energy is -3.42 eV/atom.

The space group is C2/m (No. 12) and the conventional cell measures 6.511, 12.901 and 5.019 Å, with angles of 90.00, 112.68 and 90.00 degrees. The distinct sites, in fractional coordinates, are K at (0.000, 0.159, 0.000), Al at (0.124, 0.500, 0.279) and Se at (0.000, 0.353, 0.500).

[3]
Here is a relaxed structure of KAlSe2 from Alexandria via LeMat-Bulk. Energies are from PBE.

For the uncorrected formation energy, the calculation gives -27.7 kJ per mole of atoms. Its total energy is -3.24 eV/atom.

The space group is C2/m (No. 12) and the conventional cell measures 8.041, 8.056 and 2.920 Å, with angles of 90.00, 91.38 and 90.00 degrees. The distinct sites, in fractional coordinates, are K at (0.000, 0.000, 0.000), Al at (0.000, 0.500, 0.000) and Se at (0.250, 0.250, 0.500).

[4]
Here is a relaxed structure of K3AlSe3 from Alexandria via LeMat-Bulk. Energies are from PBE.

For the energy above the most stable polymorph in this dataset, the calculation gives 0.000 eV per atom. For the uncorrected formation energy, the calculation gives -116.2 kJ per mole of atoms. Its total energy is -3.70 eV/atom.

The space group is P2_1/c (No. 14) and the conventional cell measures 9.107, 8.089 and 12.790 Å, with angles of 90.00, 98.03 and 90.00 degrees. The distinct sites, in fractional coordinates, are K at (0.081, 0.159, 0.127), K at (0.315, 0.725, 0.790), K at (0.395, 0.228, 0.922), Al at (0.168, 0.578, 0.048), Se at (0.073, 0.062, 0.381), Se at (0.245, 0.645, 0.523) and Se at (0.357, 0.071, 0.656).

What did the fourth record say?
Here is a relaxed structure of K3AlSe3 from Alexandria via LeMat-Bulk. Energies are from PBE.

For the energy above the most stable polymorph in this dataset, the calculation gives 0.000 eV per atom. For the uncorrected formation energy, the calculation gives -116.2 kJ per mole of atoms. Its total energy is -3.70 eV/atom.

The space group is P2_1/c (No. 14) and the conventional cell measures 9.107, 8.089 and 12.790 Å, with angles of 90.00, 98.03 and 90.00 degrees. The distinct sites, in fractional coordinates, are K at (0.081, 0.159, 0.127), K at (0.315, 0.725, 0.790), K at (0.395, 0.228, 0.922), Al at (0.168, 0.578, 0.048), Se at (0.073, 0.062, 0.381), Se at (0.245, 0.645, 0.523) and Se at (0.357, 0.071, 0.656).